A relaxed PbWO2 crystal. Source: Alexandria, functional PBE with a Hubbard U.

Lattice parameters (Å, degrees): 7.2433 7.2433 7.2433 27.03 27.03 27.03
Site moments in Bohr magnetons follow the coordinates.
Sites, in units of the cell vectors:
Pb 0.0000 0.0000 0.0000  -0.01
O 0.1210 0.1210 0.1210  0.00
O 0.8790 0.8790 0.8790  0.00
W 0.5000 0.5000 0.5000  2.55

Properties
* total magnetic moment: 2.716 μB per formula unit
* total energy: -25.984 eV per cell
* crystal system: trigonal